No. 1
{"formula": "AcCePrHo", "functional": "PBE-GGA", "state": "optimized geometry", "lattice_angstrom": [[0.0000, 4.1660, 4.1660], [4.1660, 0.0000, 4.1660], [4.1660, 4.1660, 0.0000]], "species": ["Ac", "Ce", "Pr", "Ho"], "frac_coords": [[0.0000, 0.0000, 0.0000], [0.7500, 0.7500, 0.7500], [0.5000, 0.5000, 0.5000], [0.2500, 0.2500, 0.2500]], "delta_e_f_ev_per_atom": 0.220, "space_group": "F-43m, No. 216"}

***

No. 2
{"formula": "AcCeHoPu", "functional": "PBE-GGA", "state": "optimized geometry", "lattice_angstrom": [[0.0000, 4.0453, 4.0453], [4.0453, 0.0000, 4.0453], [4.0453, 4.0453, 0.0000]], "species": ["Ac", "Ce", "Ho", "Pu"], "frac_coords": [[0.0000, 0.0000, 0.0000], [0.2500, 0.2500, 0.2500], [0.7500, 0.7500, 0.7500], [0.5000, 0.5000, 0.5000]], "delta_e_f_ev_per_atom": 0.276, "space_group": "F-43m, No. 216"}

***

No. 3
{"formula": "AcCeHo2S4", "functional": "PBE-GGA", "state": "optimized geometry", "lattice_angstrom": [[6.9144, 0.0000, 0.0000], [0.0000, 3.9714, 0.0000], [-2.2867, 0.0000, 6.7462]], "species": ["Ac", "Ce", "Ho", "Ho", "S", "S", "S", "S"], "frac_coords": [[0.0000, 0.0000, 0.0000], [0.5000, 0.5000, 0.0000], [0.0000, 0.5000, 0.5000], [0.5000, 0.0000, 0.5000], [0.2495, 0.0000, 0.7290], [0.2655, 0.5000, 0.2769], [0.7345, 0.5000, 0.7231], [0.7505, 0.0000, 0.2710]], "formation_energy_uncorrected_mev_per_atom": -1984, "space_group": "P2/m, No. 10"}